Compound: Sc2CrCuRe
Source: the Alexandria database
Functional: PBE
Structure: optimized geometry

## Properties
Magnetization (μB per atom): 0.58
Energy of formation (meV per atom): 774
Calculated density (g/cm3): 5.57
VASP energy (eV/cell): -34.96

Cell: 5.043 4.594 5.043 Å, 90.00 90.00 90.00°
Each line ends with the local moment (μB).
Sites, in units of the cell vectors:
Sc 0.500 0.000 0.000  0.06
Sc 0.000 0.000 0.500  0.03
Cu 0.500 0.500 0.500  0.02
Cr 0.000 0.500 0.000  2.75
Re 0.000 0.000 0.000  -0.32